Record 1
The following is a DFT calculation (PBE) of a geometry-optimized HgSb2I6 structure.

abc: 6.176 12.923 12.923
angles: 98.69 78.85 78.85
Fractional coordinates of all 18 atoms:
Hg1 0.250 0.041 0.959
Hg2 0.750 0.959 0.041
Sb1 0.354 0.525 0.742
Sb2 0.146 0.258 0.475
Sb3 0.646 0.475 0.258
Sb4 0.854 0.742 0.525
I1 0.422 0.683 0.516
I2 0.078 0.484 0.317
I3 0.578 0.317 0.484
I4 0.922 0.516 0.683
I5 0.862 0.872 0.375
I6 0.638 0.625 0.128
I7 0.138 0.128 0.625
I8 0.362 0.375 0.872
I9 0.200 0.712 0.896
I10 0.300 0.104 0.288
I11 0.800 0.288 0.104
I12 0.700 0.896 0.712

Computed properties:
**Volume**: 54.09 Å³ per atom
**SG**: C2/c, No. 15
**Crystal system**: monoclinic
**Density**: 4.1 Mg/m³
**Formation energy (no corrections)**: -0.23 eV per atom
**Energy relative to the lowest polymorph listed for this composition**: 0.0528 eV per atom
**Spin magnetization**: 0.000 μB/atom



Record 2
The following is a DFT calculation (PBE) of a geometry-optimized CaTb2PtO5 structure.

abc: 5.852 6.511 6.511
angles: 90.00 90.00 90.00
Fractional coordinates of all 18 atoms:
Ca1 0.000 0.500 0.500
Ca2 0.000 0.000 0.000
Tb1 0.500 0.674 0.174
Tb2 0.500 0.174 0.326
Tb3 0.500 0.826 0.674
Tb4 0.500 0.326 0.826
Pt1 0.000 0.000 0.500
Pt2 0.000 0.500 0.000
O1 0.500 0.500 0.500
O2 0.500 0.000 0.000
O3 0.255 0.145 0.645
O4 0.255 0.855 0.355
O5 0.255 0.355 0.145
O6 0.255 0.645 0.855
O7 0.745 0.145 0.645
O8 0.745 0.645 0.855
O9 0.745 0.855 0.355
O10 0.745 0.355 0.145

Computed properties:
**Volume**: 13.78 Å³ per atom
**SG**: P4/mbm, No. 127
**Crystal system**: tetragonal
**Density**: 8.5 Mg/m³
**Formation energy (no corrections)**: -2.60 eV per atom
**Spin magnetization**: 0.000 μB/atom



Record 3
The following is a DFT calculation (PBE) of a geometry-optimized Nd8GaOs3Br4 structure.

abc: 8.382 9.154 8.381
angles: 117.25 120.00 90.00
Fractional coordinates of all 16 atoms:
Nd1 0.240 0.695 0.956
Nd2 0.240 0.695 0.479
Nd3 0.266 0.297 0.531
Nd4 0.716 0.695 0.956
Nd5 0.284 0.305 0.044
Nd6 0.734 0.703 0.469
Nd7 0.760 0.305 0.521
Nd8 0.760 0.305 0.044
Ga1 0.000 0.500 0.000
Os1 0.500 0.500 0.000
Os2 0.500 0.500 0.500
Os3 0.000 0.500 0.500
Br1 0.500 0.000 0.000
Br2 0.500 0.000 0.500
Br3 0.000 0.000 0.000
Br4 0.000 0.000 0.500

Computed properties:
**Volume**: 29.54 Å³ per atom
**SG**: R-3m, No. 166
**Crystal system**: trigonal
**Density**: 7.4 Mg/m³
**Formation energy (no corrections)**: -0.73 eV per atom
**Spin magnetization**: 0.000 μB/atom



What did the second record say?
The following is a DFT calculation (PBE) of a geometry-optimized CaTb2PtO5 structure.

abc: 5.852 6.511 6.511
angles: 90.00 90.00 90.00
Fractional coordinates of all 18 atoms:
Ca1 0.000 0.500 0.500
Ca2 0.000 0.000 0.000
Tb1 0.500 0.674 0.174
Tb2 0.500 0.174 0.326
Tb3 0.500 0.826 0.674
Tb4 0.500 0.326 0.826
Pt1 0.000 0.000 0.500
Pt2 0.000 0.500 0.000
O1 0.500 0.500 0.500
O2 0.500 0.000 0.000
O3 0.255 0.145 0.645
O4 0.255 0.855 0.355
O5 0.255 0.355 0.145
O6 0.255 0.645 0.855
O7 0.745 0.145 0.645
O8 0.745 0.645 0.855
O9 0.745 0.855 0.355
O10 0.745 0.355 0.145

Computed properties:
**Volume**: 13.78 Å³ per atom
**SG**: P4/mbm, No. 127
**Crystal system**: tetragonal
**Density**: 8.5 Mg/m³
**Formation energy (no corrections)**: -2.60 eV per atom
**Spin magnetization**: 0.000 μB/atom



Which of these has the highest density? CaTb2PtO5